No. 1
! RbInHgBi2 PBE optimized geometry; values from VASP
! - Calculated total energy: -2.522 eV/atom
! - Volume: 365.5 Å³ per cell
! - SG: I-4m2, No. 119
! - Formation enthalpy at 0 K: -0.168 eV per atom
! - DOS at the Fermi energy: 4.81 states/eV/cell
&SYSTEM
  ibrav = 0, nat = 10, ntyp = 4
/
ATOMIC_SPECIES
Rb 85.47 Rb.upf
In 114.82 In.upf
Hg 200.59 Hg.upf
Bi 208.98 Bi.upf
CELL_PARAMETERS angstrom
5.1435 0.0000 0.0000
0.0000 5.1435 0.0000
0.0000 0.0000 13.8159
ATOMIC_POSITIONS angstrom
Rb 0.0000 0.0000 0.0000
Rb 2.5718 2.5718 6.9080
In 0.0000 2.5718 10.3620
In 2.5718 0.0000 3.4540
Hg 0.0000 2.5718 3.4540
Hg 2.5718 0.0000 10.3620
Bi 0.0000 0.0000 5.2054
Bi 0.0000 0.0000 8.6105
Bi 2.5718 2.5718 1.7026
Bi 2.5718 2.5718 12.1134


No. 2
! Rb2TlSbSe4 PBE optimized geometry; values from VASP
! - Calculated total energy: -3.436 eV/atom
! - Volume: 660.0 Å³ per cell
! - SG: I-4, No. 82
! - Raw formation energy: -14.78 kcal/mol of atoms
&SYSTEM
  ibrav = 0, nat = 16, ntyp = 4
/
ATOMIC_SPECIES
Rb 85.47 Rb.upf
Tl 204.38 Tl.upf
Sb 121.76 Sb.upf
Se 78.96 Se.upf
CELL_PARAMETERS angstrom
8.6622 0.0000 0.0000
0.0000 8.6622 0.0000
0.0000 0.0000 8.7965
ATOMIC_POSITIONS angstrom
Rb 0.0000 0.0000 0.0000
Rb 0.0000 4.3311 2.1991
Rb 4.3311 0.0000 6.5974
Rb 4.3311 4.3311 4.3983
Tl 0.0000 0.0000 4.3983
Tl 4.3311 4.3311 0.0000
Sb 0.0000 4.3311 6.5974
Sb 4.3311 0.0000 2.1991
Se 1.3772 2.7747 5.1756
Se 1.5564 5.7083 8.0192
Se 2.7747 7.2850 3.6210
Se 2.9539 1.5564 0.7773
Se 5.7083 7.1058 0.7773
Se 5.8875 1.3772 3.6210
Se 7.1058 2.9539 8.0192
Se 7.2850 5.8875 5.1756


No. 3
! CsV PBE optimized geometry; values from VASP
! - Calculated total energy: -4.098 eV/atom
! - Volume: 808.4 Å³ per cell
! - SG: Pnma, No. 62
! - Formation enthalpy at 0 K: 0.888 eV per atom
! - DOS at the Fermi energy: 14.12 states/eV/cell
&SYSTEM
  ibrav = 0, nat = 16, ntyp = 2
/
ATOMIC_SPECIES
Cs 132.91 Cs.upf
V 50.94 V.upf
CELL_PARAMETERS angstrom
17.0988 0.0000 0.0000
0.0000 4.7178 0.0000
0.0000 0.0000 10.0215
ATOMIC_POSITIONS angstrom
Cs 0.6681 1.1795 1.7712
Cs 3.8583 3.5384 8.2337
Cs 4.6911 1.1795 3.2229
Cs 7.8814 3.5384 6.7819
Cs 9.2175 1.1795 3.2396
Cs 12.4078 3.5384 6.7986
Cs 13.2405 1.1795 1.7878
Cs 16.4308 3.5384 8.2503
V 0.3715 1.1795 5.4169
V 1.5038 3.5384 4.8430
V 7.0456 1.1795 9.8537
V 8.1779 3.5384 0.4062
V 8.9209 1.1795 9.6153
V 10.0532 3.5384 0.1678
V 15.5951 1.1795 5.1785
V 16.7274 3.5384 4.6046


No. 4
! KCr3Cu PBE optimized geometry; values from VASP
! - Calculated total energy: -5.568 eV/atom
! - Volume: 122.0 Å³ per cell
! - SG: Pm-3m, No. 221
! - Formation enthalpy at 0 K: 1.245 eV per atom
! - DOS at the Fermi energy: 2.94 states/eV/cell
&SYSTEM
  ibrav = 0, nat = 5, ntyp = 3
/
ATOMIC_SPECIES
K 39.10 K.upf
Cr 52.00 Cr.upf
Cu 63.55 Cu.upf
CELL_PARAMETERS angstrom
4.9601 0.0000 0.0000
0.0000 4.9601 0.0000
0.0000 0.0000 4.9601
ATOMIC_POSITIONS angstrom
K 0.0000 0.0000 0.0000
Cr 0.0000 2.4801 2.4801
Cr 2.4801 0.0000 2.4801
Cr 2.4801 2.4801 0.0000
Cu 2.4801 2.4801 2.4801


No. 5
! Li3Pr2PaSe6 PBE optimized geometry; values from VASP
! - Calculated total energy: -5.324 eV/atom
! - Volume: 294.6 Å³ per cell
! - SG: C2/m, No. 12
! - Raw formation energy: -34.94 kcal/mol of atoms
! - DOS at the Fermi energy: 6.76 states/eV/cell
&SYSTEM
  ibrav = 0, nat = 12, ntyp = 4
/
ATOMIC_SPECIES
Li 6.94 Li.upf
Pr 140.91 Pr.upf
Pa 231.04 Pa.upf
Se 78.96 Se.upf
CELL_PARAMETERS angstrom
3.5997 -6.2356 0.0000
3.5997 6.2356 0.0000
-2.4079 0.0000 6.5623
ATOMIC_POSITIONS angstrom
Li 0.0000 0.0000 0.0000
Li 3.5997 2.0573 0.0000
Li 3.5997 -2.0573 0.0000
Pr 2.3958 4.1502 3.2811
Pr 2.3958 -4.1502 3.2811
Pa 2.3958 0.0000 3.2811
Se 1.2431 1.9953 1.5443
Se 0.0888 0.0000 4.9873
Se 1.2431 -1.9953 1.5443
Se 3.5485 1.9953 5.0179
Se 4.7027 0.0000 1.5749
Se 3.5485 -1.9953 5.0179


No. 6
! YTeO4 PBE optimized geometry; values from VASP
! - Calculated total energy: -6.910 eV/atom
! - Volume: 167.6 Å³ per cell
! - SG: Pnc2, No. 30
! - Raw formation energy: -46.20 kcal/mol of atoms
! - DOS at the Fermi energy: 3.42 states/eV/cell
&SYSTEM
  ibrav = 0, nat = 12, ntyp = 3
/
ATOMIC_SPECIES
Y 88.91 Y.upf
Te 127.60 Te.upf
O 16.00 O.upf
CELL_PARAMETERS angstrom
5.5083 0.0000 0.0000
0.0000 5.1854 0.0000
0.0000 0.0000 5.8692
ATOMIC_POSITIONS angstrom
Y 0.0000 0.0000 0.0000
Y 0.0000 2.5927 2.9346
Te 2.7542 0.0000 2.0917
Te 2.7542 2.5927 5.0263
O 1.0462 1.0099 1.8071
O 1.0462 1.5828 4.7417
O 1.9061 3.8452 3.5711
O 1.9061 3.9329 0.6365
O 3.6022 1.2525 0.6365
O 3.6022 1.3402 3.5711
O 4.4621 3.6026 4.7417
O 4.4621 4.1755 1.8071